1.
# PtBrN2 | Alexandria via LeMat-Bulk | PBE | optimized geometry
# E above lowest polymorph = 1487 meV per atom
data_PtBrN2
_chemical_formula_sum 'Pt1 Br1 N2'
_space_group_name_H-M_alt 'P 1'
_space_group_IT_number 1
_cell_length_a 4.0805
_cell_length_b 4.0805
_cell_length_c 4.0805
_cell_angle_alpha 60.00
_cell_angle_beta 60.00
_cell_angle_gamma 60.00
loop_
_space_group_symop_operation_xyz
'x,y,z'
loop_
_atom_site_label
_atom_site_fract_x
_atom_site_fract_y
_atom_site_fract_z
_atom_site_occupancy
Pt1 0.0000 0.0000 0.0000 1
Br1 0.5000 0.5000 0.5000 1
N1 0.2500 0.2500 0.2500 1
N2 0.7500 0.7500 0.7500 1

---

2.
# PmZn2Ag2 | Alexandria via LeMat-Bulk | PBE | optimized geometry
# E above lowest polymorph = 0 meV per atom
# formation energy from the elements = -0.2349 eV/atom
data_PmZn2Ag2
_chemical_formula_sum 'Pm2 Zn4 Ag4'
_space_group_name_H-M_alt 'P 1'
_space_group_IT_number 1
_cell_length_a 4.9710
_cell_length_b 4.9710
_cell_length_c 9.4598
_cell_angle_alpha 97.46
_cell_angle_beta 97.46
_cell_angle_gamma 118.10
loop_
_space_group_symop_operation_xyz
'x,y,z'
loop_
_atom_site_label
_atom_site_fract_x
_atom_site_fract_y
_atom_site_fract_z
_atom_site_occupancy
Pm1 0.1657 0.8343 0.7500 1
Pm2 0.8343 0.1657 0.2500 1
Zn1 0.4162 0.4248 0.6119 1
Zn2 0.4248 0.4162 0.1119 1
Zn3 0.5752 0.5838 0.8881 1
Zn4 0.5838 0.5752 0.3881 1
Ag1 0.1097 0.7879 0.0930 1
Ag2 0.2121 0.8903 0.4070 1
Ag3 0.7879 0.1097 0.5930 1
Ag4 0.8903 0.2121 0.9070 1

---

3.
# Ac2LaTbSm | Alexandria via LeMat-Bulk | PBE | optimized geometry
# formation energy from the elements = 0.2639 eV/atom
data_Ac2LaTbSm
_chemical_formula_sum 'Ac4 La2 Tb2 Sm2'
_space_group_name_H-M_alt 'P 1'
_space_group_IT_number 1
_cell_length_a 6.4918
_cell_length_b 9.0968
_cell_length_c 6.7592
_cell_angle_alpha 90.00
_cell_angle_beta 90.00
_cell_angle_gamma 90.00
loop_
_space_group_symop_operation_xyz
'x,y,z'
loop_
_atom_site_label
_atom_site_fract_x
_atom_site_fract_y
_atom_site_fract_z
_atom_site_occupancy
Ac1 0.2500 0.2003 0.2089 1
Ac2 0.2500 0.7997 0.2089 1
Ac3 0.7500 0.2003 0.7911 1
Ac4 0.7500 0.7997 0.7911 1
La1 0.2500 0.5000 0.9258 1
La2 0.7500 0.5000 0.0742 1
Tb1 0.2500 0.0000 0.6789 1
Tb2 0.7500 0.0000 0.3211 1
Sm1 0.0000 0.5000 0.5000 1
Sm2 0.5000 0.5000 0.5000 1

---

In order of appearance, uncorrected energy = -3.648; -2.835; -4.235 eV/atom.